(i)
Material: AlBiHPd2
Method: DFT, PBE
State: relaxed Values from VASP.

```
&SYSTEM
  ibrav = 0, nat = 5, ntyp = 4
/
ATOMIC_SPECIES
Al 26.98 Al.upf
Bi 208.98 Bi.upf
H 1.01 H.upf
Pd 106.42 Pd.upf
ATOMIC_POSITIONS crystal
Al 0.000 0.000 0.000
Bi 0.500 0.500 0.500
H 0.000 0.000 0.500
Pd 0.000 0.500 0.000
Pd 0.500 0.000 0.000
CELL_PARAMETERS angstrom
4.938 0.000 0.000
0.000 4.938 0.000
0.000 0.000 3.446
```

N(E_F): 0.41 states/eV/atom
crystal system: tetragonal

=====

(ii)
Material: AlBiHPd2
Method: DFT, PBE
State: relaxed Values from VASP.

```
&SYSTEM
  ibrav = 0, nat = 5, ntyp = 4
/
ATOMIC_SPECIES
Al 26.98 Al.upf
Bi 208.98 Bi.upf
H 1.01 H.upf
Pd 106.42 Pd.upf
ATOMIC_POSITIONS crystal
Al 0.000 0.000 0.000
Bi 0.500 0.500 0.000
H 0.500 0.500 0.500
Pd 0.000 0.500 0.500
Pd 0.500 0.000 0.500
CELL_PARAMETERS angstrom
4.172 0.000 0.000
0.000 4.172 0.000
0.000 0.000 4.533
```

N(E_F): 0.34 states/eV/atom
crystal system: tetragonal

=====

Winner for stability: (i)

=====

(i)
Material: HfAl3Bi
Method: DFT, PBE
State: relaxed Values from VASP.

```
&SYSTEM
  ibrav = 0, nat = 5, ntyp = 3
/
ATOMIC_SPECIES
Hf 178.49 Hf.upf
Al 26.98 Al.upf
Bi 208.98 Bi.upf
ATOMIC_POSITIONS crystal
Hf 0.000 0.000 0.000
Al 0.000 0.000 0.500
Al 0.000 0.500 0.000
Al 0.500 0.000 0.000
Bi 0.500 0.500 0.500
CELL_PARAMETERS angstrom
5.243 0.000 0.000
0.000 5.243 0.000
0.000 0.000 5.243
```

N(E_F): 1.09 states/eV/atom
crystal system: cubic

=====

(ii)
Material: HfAl3Bi
Method: DFT, PBE
State: relaxed Values from VASP.

```
&SYSTEM
  ibrav = 0, nat = 5, ntyp = 3
/
ATOMIC_SPECIES
Hf 178.49 Hf.upf
Al 26.98 Al.upf
Bi 208.98 Bi.upf
ATOMIC_POSITIONS crystal
Hf 0.000 0.000 0.000
Al 0.000 0.500 0.500
Al 0.500 0.000 0.500
Al 0.500 0.500 0.000
Bi 0.500 0.500 0.500
CELL_PARAMETERS angstrom
5.271 0.000 0.000
0.000 5.271 0.000
0.000 0.000 5.271
```

N(E_F): 1.26 states/eV/atom
crystal system: cubic

=====

Winner for stability: (i)